No. 1
MnZnOs2: relaxed, PBEsol.

Output
The total energy comes out at -0.6459 Ry/atom. Its total magnetization is 2.5 Bohr magnetons per cell.

Structure (POSCAR):
```
MnZnOs2
1.0
-0.228 -2.657 0.375
2.522 -0.083 0.941
-2.519 1.183 6.855
Zn Os Mn
1 2 1
Cartesian
-1.272 0.598 3.462
0.533 -1.082 2.329
-0.004 0.002 0.011
-0.741 -0.483 5.796
```

=====

No. 2
Zr2MnOs: relaxed, PBEsol.

Output
The total energy comes out at -0.7591 Ry/atom. Its total magnetization is 0.5 Bohr magnetons per cell.

Structure (POSCAR):
```
Zr2MnOs
1.0
3.194 0.000 0.000
0.000 3.194 0.000
0.000 0.000 6.410
Zr Mn Os
2 1 1
Cartesian
0.000 0.000 1.559
0.000 0.000 4.851
1.597 1.597 0.000
1.597 1.597 3.205
```

=====

No. 3
ZrMnOs2: relaxed, PBEsol.

Output
The total energy comes out at -0.7853 Ry/atom. Its total magnetization is 2.9 Bohr magnetons per cell.

Structure (POSCAR):
```
ZrMnOs2
1.0
-0.359 2.375 -1.338
-1.061 -2.950 -3.859
-3.555 0.299 3.762
Zr Os Mn
1 2 1
Cartesian
-0.179 1.187 -0.669
-1.777 0.149 1.881
-2.487 -0.138 -0.718
-0.530 -1.475 -1.930
```

=====

No. 4
ZrMnOs2: relaxed, PBEsol.

Output
The total energy comes out at -0.7712 Ry/atom. Its total magnetization is 1.7 Bohr magnetons per cell.

Structure (POSCAR):
```
ZrMnOs2
1.0
2.742 0.000 0.000
1.371 2.374 0.000
1.371 0.791 9.148
Zr Os Mn
1 2 1
Cartesian
2.742 1.583 4.518
4.113 2.374 0.062
4.113 2.374 7.049
1.371 0.791 2.093
```

=====

No. 5
MnP2: relaxed, PBEsol.

Output
The total energy comes out at -0.5441 Ry/atom. Its total magnetization is 0.0 Bohr magnetons per cell.

Structure (POSCAR):
```
MnP2
1.0
2.902 0.000 0.000
-1.451 2.513 0.000
0.000 0.000 4.896
Mn P
1 2
Cartesian
0.000 0.000 0.000
1.451 0.838 3.353
0.000 1.676 1.543
```

=====

No. 6
MnP2: relaxed, PBEsol.

Output
The total energy comes out at -0.5600 Ry/atom. Its total magnetization is 2.0 Bohr magnetons per cell.

Structure (POSCAR):
```
MnP2
1.0
-0.535 -2.172 1.486
3.854 -2.433 -2.170
3.508 1.923 4.074
P Mn
4 2
Cartesian
4.491 -1.297 -0.280
1.442 -1.635 0.556
2.871 0.787 2.184
5.384 -1.047 2.834
0.000 0.000 0.000
3.413 -1.341 1.695
```

=====

No. 7
MnP: relaxed, PBEsol.

Output
The total energy comes out at -0.5629 Ry/atom. Its total magnetization is 0.0 Bohr magnetons per cell.

Structure (POSCAR):
```
MnP
1.0
-3.853 0.225 0.111
1.711 -2.932 -1.841
-0.050 -3.911 6.181
P Mn
4 4
Cartesian
-2.044 -4.386 5.085
-0.164 -3.483 1.343
-0.149 -2.232 -0.634
-2.028 -3.135 3.108
-0.037 -2.933 4.636
-0.012 -0.978 1.545
-2.011 -1.805 1.006
-0.181 -4.813 3.445
```

=====

No. 8
Mn5P3: relaxed, PBEsol.

Output
The total energy comes out at -0.6440 Ry/atom. Its total magnetization is 14.1 Bohr magnetons per cell. The energy above the most stable polymorph in this dataset comes out at 21 meV/atom.

Structure (POSCAR):
```
Mn5P3
1.0
4.976 0.000 0.000
2.488 5.955 0.000
2.488 0.000 5.955
Mn P
10 6
Cartesian
3.509 2.978 2.978
5.141 5.106 1.706
5.997 2.978 2.978
5.141 0.849 1.706
7.629 4.249 5.106
5.141 5.106 4.249
5.141 0.849 4.249
2.653 4.249 0.849
2.653 1.706 0.849
7.629 1.706 5.106
3.857 0.000 0.000
7.176 4.910 2.978
1.369 0.000 0.000
4.688 2.978 4.910
4.688 2.978 1.046
2.200 1.046 2.978
```

=====

No. 9
MnP: relaxed, PBEsol.

Output
The total energy comes out at -0.6166 Ry/atom. Its total magnetization is 0.0 Bohr magnetons per cell.

Structure (POSCAR):
```
MnP
1.0
4.434 0.000 0.000
0.000 4.434 0.000
0.000 0.000 4.434
Mn P
4 4
Cartesian
1.628 1.628 1.628
3.845 0.589 2.806
0.589 2.806 3.845
2.806 3.845 0.589
0.358 0.358 0.358
4.077 2.575 1.859
2.575 1.859 4.077
1.859 4.077 2.575
```

=====

No. 10
MnP: relaxed, PBEsol.

Output
The total energy comes out at -0.6100 Ry/atom. Its total magnetization is 0.5 Bohr magnetons per cell.

Structure (POSCAR):
```
MnP
1.0
2.841 0.000 0.000
-1.421 3.887 0.003
0.000 -1.260 5.921
Mn P
3 3
Cartesian
0.000 1.417 3.993
0.000 -0.777 5.774
0.000 2.584 1.633
1.421 0.905 5.729
1.421 0.885 2.137
1.421 3.113 3.442
```

=====

No. 11
MnP: relaxed, PBEsol.

Output
The total energy comes out at -0.5976 Ry/atom. Its total magnetization is 0.0 Bohr magnetons per cell.

Structure (POSCAR):
```
MnP
1.0
-0.054 -0.174 3.487
2.962 -0.645 -1.734
2.120 8.508 0.457
P Mn
4 4
Cartesian
0.000 0.000 0.000
1.481 1.796 1.861
1.060 4.254 0.228
3.546 5.893 0.349
2.241 4.848 2.025
2.841 7.252 2.154
2.187 0.437 0.056
2.786 2.841 0.185
```

=====

No. 12
MnP: relaxed, PBEsol.

Output
The total energy comes out at -0.5627 Ry/atom. Its total magnetization is 1.3 Bohr magnetons per cell.

Structure (POSCAR):
```
MnP
1.0
3.552 0.000 0.000
1.776 3.077 0.000
1.776 1.026 2.901
P Mn
1 1
Cartesian
5.329 3.077 2.175
0.000 0.000 0.000
```

=====

no.,formation energy (eV per atom)
1,0.16
2,-0.29
3,0.14
4,0.33
5,-0.29
6,-0.50
7,0.12
8,-0.49
9,-0.61
10,-0.52
11,-0.35
12,0.12